1.
Below is a relaxed structure of AcDySbTe, with properties calculated at the PBE-GGA level.

Computed properties:
Its space group is R3m, No. 160. For the energy relative to the elements, uncorrected, the calculation gives -1224 meV per atom.

Unit cell a=4.453 b=4.453 c=8.409 alpha=90.00 beta=105.34 gamma=119.99
Atoms (fractional coordinates):
Dy 0.482 0.139 0.636
Sb 0.290 0.543 0.848
Te 0.982 0.389 0.386
Ac 0.125 0.960 0.100


2.
Below is a relaxed structure of Ac2DyThSb4, with properties calculated at the PBE-GGA level.

Computed properties:
Its space group is P2/m, No. 10. For the energy relative to the elements, uncorrected, the calculation gives -1119 meV per atom.

Unit cell a=4.614 b=7.966 c=8.039 alpha=109.36 beta=90.00 gamma=90.00
Atoms (fractional coordinates):
Sb 0.000 0.740 0.228
Sb 0.500 0.247 0.230
Sb 0.500 0.753 0.770
Sb 0.000 0.260 0.772
Ac 0.500 0.000 0.500
Ac 0.000 0.500 0.500
Dy 0.500 0.500 0.000
Th 0.000 0.000 0.000


3.
Below is a relaxed structure of AcDyTh2Sb4, with properties calculated at the PBE-GGA level.

Computed properties:
Its space group is P2/m, No. 10. For the energy relative to the elements, uncorrected, the calculation gives -1015 meV per atom.

Unit cell a=4.552 b=7.885 c=7.878 alpha=70.50 beta=90.00 gamma=90.00
Atoms (fractional coordinates):
Sb 0.500 0.750 0.259
Sb 0.000 0.758 0.737
Sb 0.000 0.242 0.263
Sb 0.500 0.250 0.741
Th 0.500 0.000 0.500
Th 0.000 0.000 0.000
Ac 0.500 0.500 0.000
Dy 0.000 0.500 0.500


Question: The lowest energy relative to the elements, uncorrected belongs to which entry?
Answer: AcDySbTe


Question: What is the energy relative to the elements, uncorrected in the second record?
Answer: -1119 meV per atom